Entry from Alexandria: a relaxed structure of PrScSe2 (PBE).

Results
crystal system	trigonal
calculated volume	23.838	Å³ per atom
space group	R-3m
total energy	-0.229	Ha/atom

Cell lengths 7.237, 7.237, 7.237 Å; angles 32.15, 32.15, 32.15 degrees
Element x y z (fractional)
Pr: 0.000 0.000 0.000
Sc: 0.500 0.500 0.500
Se: 0.239 0.239 0.239
Se: 0.761 0.761 0.761

Entry from Alexandria: a relaxed structure of PrSc3Se6 (PBE).

Results
crystal system	monoclinic
calculated volume	24.249	Å³ per atom
space group	P2_1/m
total energy	-0.228	Ha/atom

Cell lengths 11.246, 3.986, 11.479 Å; angles 90.00, 109.54, 90.00 degrees
Element x y z (fractional)
Pr: 0.052 0.250 0.201
Pr: 0.948 0.750 0.799
Sc: 0.159 0.250 0.589
Sc: 0.321 0.750 0.001
Sc: 0.445 0.250 0.337
Sc: 0.555 0.750 0.663
Sc: 0.679 0.250 0.999
Sc: 0.841 0.750 0.411
Se: 0.083 0.750 0.413
Se: 0.125 0.250 0.967
Se: 0.204 0.750 0.749
Se: 0.273 0.750 0.231
Se: 0.390 0.250 0.557
Se: 0.478 0.250 0.114
Se: 0.522 0.750 0.886
Se: 0.610 0.750 0.443
Se: 0.727 0.250 0.769
Se: 0.796 0.250 0.251
Se: 0.875 0.750 0.033
Se: 0.917 0.250 0.587

Entry from Alexandria: a relaxed structure of Pr2ScSe3 (PBE).

Results
crystal system	orthorhombic
calculated volume	25.085	Å³ per atom
space group	Fddd
total energy	-0.225	Ha/atom

Cell lengths 13.590, 12.959, 7.202 Å; angles 79.15, 69.48, 31.37 degrees
Element x y z (fractional)
Pr: 0.046 0.046 0.204
Pr: 0.122 0.122 0.628
Pr: 0.204 0.204 0.046
Pr: 0.372 0.372 0.878
Pr: 0.628 0.628 0.122
Pr: 0.796 0.796 0.954
Pr: 0.878 0.878 0.372
Pr: 0.954 0.954 0.796
Sc: 0.294 0.294 0.456
Sc: 0.456 0.456 0.294
Sc: 0.544 0.544 0.706
Sc: 0.706 0.706 0.544
Se: 0.035 0.538 0.237
Se: 0.151 0.599 0.599
Se: 0.237 0.690 0.035
Se: 0.310 0.763 0.462
Se: 0.401 0.849 0.849
Se: 0.462 0.965 0.310
Se: 0.538 0.035 0.690
Se: 0.599 0.151 0.151
Se: 0.690 0.237 0.538
Se: 0.763 0.310 0.965
Se: 0.849 0.401 0.401
Se: 0.965 0.462 0.763

Entry from Alexandria: a relaxed structure of Pr4ScSe7 (PBE).

Results
crystal system	monoclinic
calculated volume	27.858	Å³ per atom
space group	Cm
total energy	-0.220	Ha/atom

Cell lengths 7.132, 7.132, 12.406 Å; angles 104.53, 104.53, 33.29 degrees
Element x y z (fractional)
Pr: 0.000 0.000 0.000
Pr: 0.192 0.192 0.764
Pr: 0.586 0.586 0.366
Pr: 0.888 0.888 0.561
Sc: 0.776 0.776 0.143
Se: 0.165 0.165 0.215
Se: 0.224 0.224 0.514
Se: 0.378 0.378 0.075
Se: 0.551 0.551 0.618
Se: 0.636 0.636 0.932
Se: 0.853 0.853 0.783
Se: 0.921 0.921 0.337

Entry from Alexandria: a relaxed structure of Pr3ScSe6 (PBE).

Results
crystal system	trigonal
calculated volume	29.323	Å³ per atom
space group	R-3
total energy	-0.219	Ha/atom

Cell lengths 8.459, 8.459, 8.459 Å; angles 97.87, 97.87, 97.87 degrees
Element x y z (fractional)
Pr: 0.110 0.283 0.620
Pr: 0.283 0.620 0.110
Pr: 0.380 0.890 0.717
Pr: 0.620 0.110 0.283
Pr: 0.717 0.380 0.890
Pr: 0.890 0.717 0.380
Sc: 0.000 0.000 0.000
Sc: 0.500 0.500 0.500
Se: 0.041 0.934 0.687
Se: 0.066 0.313 0.959
Se: 0.193 0.560 0.426
Se: 0.313 0.959 0.066
Se: 0.426 0.193 0.560
Se: 0.440 0.574 0.807
Se: 0.560 0.426 0.193
Se: 0.574 0.807 0.440
Se: 0.687 0.041 0.934
Se: 0.807 0.440 0.574
Se: 0.934 0.687 0.041
Se: 0.959 0.066 0.313

Entry from Alexandria: a relaxed structure of PrScSe2 (PBE).

Results
crystal system	trigonal
calculated volume	24.036	Å³ per atom
space group	R3m
total energy	-0.229	Ha/atom

Cell lengths 7.390, 7.390, 7.390 Å; angles 31.21, 31.21, 31.21 degrees
Element x y z (fractional)
Pr: 0.000 0.000 0.000
Sc: 0.176 0.176 0.176
Se: 0.576 0.576 0.576
Se: 0.764 0.764 0.764

Entry from Alexandria: a relaxed structure of Pr2ScSe3 (PBE).

Results
crystal system	orthorhombic
calculated volume	26.244	Å³ per atom
space group	Immm
total energy	-0.220	Ha/atom

Cell lengths 8.630, 8.630, 8.630 Å; angles 153.61, 146.46, 43.17 degrees
Element x y z (fractional)
Pr: 0.144 0.144 0.000
Pr: 0.856 0.856 0.000
Sc: 0.500 0.500 0.000
Se: 0.000 0.500 0.500
Se: 0.331 0.331 0.000
Se: 0.669 0.669 0.000

Entry from Alexandria: a relaxed structure of Pr3ScSe6 (PBE).

Results
crystal system	orthorhombic
calculated volume	29.810	Å³ per atom
space group	Cmc2_1
total energy	-0.219	Ha/atom

Cell lengths 9.237, 9.237, 7.153 Å; angles 90.00, 90.00, 102.38 degrees
Element x y z (fractional)
Pr: 0.098 0.902 0.500
Pr: 0.216 0.416 0.409
Pr: 0.416 0.216 0.909
Pr: 0.584 0.784 0.409
Pr: 0.784 0.584 0.909
Pr: 0.902 0.098 0.000
Sc: 0.303 0.697 0.877
Sc: 0.697 0.303 0.377
Se: 0.066 0.599 0.693
Se: 0.134 0.192 0.706
Se: 0.192 0.134 0.206
Se: 0.277 0.723 0.237
Se: 0.401 0.934 0.693
Se: 0.466 0.534 0.712
Se: 0.534 0.466 0.212
Se: 0.599 0.066 0.193
Se: 0.723 0.277 0.737
Se: 0.808 0.866 0.706
Se: 0.866 0.808 0.206
Se: 0.934 0.401 0.193

Repeat the third record exactly.
Entry from Alexandria: a relaxed structure of Pr2ScSe3 (PBE).

Results
crystal system	orthorhombic
calculated volume	25.085	Å³ per atom
space group	Fddd
total energy	-0.225	Ha/atom

Cell lengths 13.590, 12.959, 7.202 Å; angles 79.15, 69.48, 31.37 degrees
Element x y z (fractional)
Pr: 0.046 0.046 0.204
Pr: 0.122 0.122 0.628
Pr: 0.204 0.204 0.046
Pr: 0.372 0.372 0.878
Pr: 0.628 0.628 0.122
Pr: 0.796 0.796 0.954
Pr: 0.878 0.878 0.372
Pr: 0.954 0.954 0.796
Sc: 0.294 0.294 0.456
Sc: 0.456 0.456 0.294
Sc: 0.544 0.544 0.706
Sc: 0.706 0.706 0.544
Se: 0.035 0.538 0.237
Se: 0.151 0.599 0.599
Se: 0.237 0.690 0.035
Se: 0.310 0.763 0.462
Se: 0.401 0.849 0.849
Se: 0.462 0.965 0.310
Se: 0.538 0.035 0.690
Se: 0.599 0.151 0.151
Se: 0.690 0.237 0.538
Se: 0.763 0.310 0.965
Se: 0.849 0.401 0.401
Se: 0.965 0.462 0.763

Q: calculated volume of number 3 (Pr2ScSe3)?
A: 25.085 Å³ per atom

Q: calculated volume of number 6 (PrScSe2)?
A: 24.036 Å³ per atom